(1)
This record from Alexandria via LeMat-Bulk describes YGeH2Se after structural relaxation. The functional is GGA-PBEsol.

Its total magnetization is 0.00 Bohr magnetons per cell. The value obtained for the relative energy among the computed polymorphs is 0 meV/atom.

The structure belongs to space group P4/mmm (No. 123); the cell edges are 3.8503, 3.8503 and 5.9991 Å and the angles 90.00°, 90.00° and 90.00°. The inequivalent atoms are Y at (0.0000, 0.0000, 0.0000), Ge at (0.0000, 0.0000, 0.5000), H at (0.0000, 0.5000, 0.5000) and Se at (0.5000, 0.5000, 0.0000).


(2)
This record from Alexandria via LeMat-Bulk describes Tb3Co4Ge13 after structural relaxation. The functional is GGA-PBEsol.

Its total magnetization is 0.00 Bohr magnetons per cell. The formation energy is -9.97 eV/f.u.

The structure belongs to space group Pm-3n (No. 223); the cell edges are 8.6631, 8.6631 and 8.6631 Å and the angles 90.00°, 90.00° and 90.00°. The inequivalent atoms are Tb at (0.0000, 0.2500, 0.5000), Co at (0.2500, 0.2500, 0.2500), Ge at (0.0000, 0.0000, 0.0000) and Ge at (0.0000, 0.3031, 0.1533).


(3)
This record from Alexandria via LeMat-Bulk describes CaIn2Te after structural relaxation. The functional is GGA-PBEsol.

Its total magnetization is 0.00 Bohr magnetons per cell. The formation energy (no corrections) comes out at -395 meV per atom.

The structure belongs to space group F-43m (No. 216); the cell edges are 7.5840, 7.5840 and 7.5840 Å and the angles 90.00°, 90.00° and 90.00°. The inequivalent atoms are Ca at (0.0000, 0.0000, 0.0000), In at (0.0000, 0.0000, 0.5000), In at (0.2500, 0.2500, 0.7500) and Te at (0.2500, 0.2500, 0.2500).


(4)
This record from Alexandria via LeMat-Bulk describes LuWO4 after structural relaxation. The functional is GGA-PBEsol.

Its total magnetization is 4.04 Bohr magnetons per cell. The value obtained for the relative energy among the computed polymorphs is 46 meV/atom. The formation energy (no corrections) comes out at -2695 meV per atom.

The structure belongs to space group I4_1/a (No. 88, origin choice 2); the cell edges are 5.0989, 5.0989 and 10.6196 Å and the angles 90.00°, 90.00° and 90.00°. The inequivalent atoms are Lu at (0.0000, 0.2500, 0.1250), W at (0.0000, 0.2500, 0.6250) and O at (0.1919, 0.4954, 0.2870).


(5)
This record from Alexandria via LeMat-Bulk describes Sr4MoCl after structural relaxation. The functional is GGA-PBEsol.

Its total magnetization is 17.49 Bohr magnetons per cell. The formation energy (no corrections) comes out at 908 meV per atom.

The structure belongs to space group F-43m (No. 216); the cell edges are 10.0843, 10.0843 and 10.0843 Å and the angles 90.00°, 90.00° and 90.00°. The inequivalent atoms are Sr at (0.1240, 0.1240, 0.1240), Mo at (0.2500, 0.2500, 0.7500) and Cl at (0.0000, 0.0000, 0.5000).


(6)
This record from Alexandria via LeMat-Bulk describes TiPN3 after structural relaxation. The functional is GGA-PBEsol.

Its total magnetization is 0.00 Bohr magnetons per cell. The formation energy (no corrections) comes out at -986 meV per atom.

The structure belongs to space group C2/c (No. 15); the cell edges are 9.3408, 8.6209 and 4.9546 Å and the angles 90.00°, 101.47° and 90.00°. The inequivalent atoms are Ti at (0.0000, 0.1025, 0.2500), Ti at (0.0000, 0.2824, 0.7500), P at (0.1998, 0.4131, 0.2946), N at (0.1200, 0.0945, 0.6382), N at (0.1198, 0.2649, 0.1303) and N at (0.1447, 0.4341, 0.5935).


(7)
This record from Alexandria via LeMat-Bulk describes La2Pt2I after structural relaxation. The functional is GGA-PBEsol.

Its total magnetization is 0.00 Bohr magnetons per cell. The formation energy (no corrections) comes out at -996 meV per atom.

The structure belongs to space group I4/mmm (No. 139); the cell edges are 3.9674, 3.9674 and 16.9040 Å and the angles 90.00°, 90.00° and 90.00°. The inequivalent atoms are La at (0.0000, 0.0000, 0.1272), Pt at (0.0000, 0.5000, 0.2500) and I at (0.0000, 0.0000, 0.5000).


(8)
This record from Alexandria via LeMat-Bulk describes Ba3Nb2O8 after structural relaxation. The functional is GGA-PBEsol.

Its total magnetization is 0.00 Bohr magnetons per cell. The formation energy (no corrections) comes out at -2807 meV per atom.

The structure belongs to space group R-3m (No. 166, hexagonal axes); the cell edges are 6.0419, 6.0419 and 21.3999 Å and the angles 90.00°, 90.00° and 120.00°. The inequivalent atoms are Ba at (0.0000, 0.0000, 0.0000), Ba at (0.0000, 0.0000, 0.1995), Nb at (0.0000, 0.0000, 0.4061), O at (0.0000, 0.0000, 0.3194) and O at (0.0036, 0.5018, 0.7685).


(9)
This record from Alexandria via LeMat-Bulk describes FeRe2Se after structural relaxation. The functional is GGA-PBEsol.

Its total magnetization is 0.80 Bohr magnetons per cell. The formation energy (no corrections) comes out at 811 meV per atom.

The structure belongs to space group P4/mmm (No. 123); the cell edges are 3.6289, 3.6289 and 4.2826 Å and the angles 90.00°, 90.00° and 90.00°. The inequivalent atoms are Fe at (0.0000, 0.0000, 0.0000), Re at (0.0000, 0.5000, 0.5000) and Se at (0.5000, 0.5000, 0.0000).


(10)
This record from Alexandria via LeMat-Bulk describes LiTl2BrN after structural relaxation. The functional is GGA-PBEsol.

Its total magnetization is 1.63 Bohr magnetons per cell. The formation energy (no corrections) comes out at 738 meV per atom.

The structure belongs to space group P4/mmm (No. 123); the cell edges are 5.3363, 5.3363 and 4.4589 Å and the angles 90.00°, 90.00° and 90.00°. The inequivalent atoms are Li at (0.0000, 0.0000, 0.0000), Tl at (0.0000, 0.5000, 0.0000), Br at (0.0000, 0.0000, 0.5000) and N at (0.5000, 0.5000, 0.5000).


(11)
This record from Alexandria via LeMat-Bulk describes CdAg2Cl after structural relaxation. The functional is GGA-PBEsol.

Its total magnetization is 0.00 Bohr magnetons per cell. The value obtained for the relative energy among the computed polymorphs is 83 meV/atom. The formation energy (no corrections) comes out at -65 meV per atom.

The structure belongs to space group Imm2 (No. 44); the cell edges are 3.1636, 4.4079 and 11.6632 Å and the angles 90.00°, 90.00° and 90.00°. The inequivalent atoms are Cd at (0.0000, 0.0000, 0.0000), Ag at (0.0000, 0.0000, 0.4537), Ag at (0.0000, 0.5000, 0.1566) and Cl at (0.0000, 0.5000, 0.7514).


(12)
This record from Alexandria via LeMat-Bulk describes K2MgBe after structural relaxation. The functional is GGA-PBEsol.

Its total magnetization is 0.00 Bohr magnetons per cell. The value obtained for the relative energy among the computed polymorphs is 273 meV/atom. The formation energy is 3.07 eV/f.u.

The structure belongs to space group Fm-3m (No. 225); the cell edges are 8.2954, 8.2954 and 8.2954 Å and the angles 90.00°, 90.00° and 90.00°. The inequivalent atoms are K at (0.2500, 0.2500, 0.2500), Mg at (0.0000, 0.0000, 0.0000) and Be at (0.0000, 0.0000, 0.5000).